This record from Alexandria via LeMat-Bulk describes a relaxed Pr4PPtCl2 crystal. The functional is GGA-PBE.

Cell lengths 4.1187, 7.3432, 7.5201 Å; angles 71.71, 90.00, 90.00 degrees
Closest atoms and distances in Å follow each position.
Sites, in units of the cell vectors:
Pr 0.0000 0.7215 0.7637  2 Pt 2.87, 1 P 2.93, 3 Cl 3.10-3.13
Pr 0.0000 0.2785 0.2363  2 Pt 2.87, 1 P 2.93, 3 Cl 3.10-3.13
Pr 0.5000 0.7263 0.2661  2 P 2.87, 1 Pt 2.98, 3 Cl 3.06-3.12
Pr 0.5000 0.2737 0.7339  2 P 2.87, 1 Pt 2.98, 3 Cl 3.06-3.12
P 0.0000 0.5000 0.5000  6 Pr 2.87-2.93
Pt 0.5000 0.5000 0.0000  6 Pr 2.87-2.98
Cl 0.0000 0.0000 0.0000  6 Pr 3.10-3.12
Cl 0.5000 0.0000 0.5000  6 Pr 3.06-3.13

Results
For the calculated volume, the calculation gives 26.99 A^3/atom. For the electronic total energy, the calculation gives -0.20995 Ha/atom. The value obtained for the raw formation energy is -1.43 eV/atom. As for the crystal system: monoclinic.